NbRe2W GGA-PBE optimized geometry; ΔH_f (0 K) = -0.100 eV per atom
1.0
3.1681 0.0000 0.0000
0.0000 4.4972 0.0000
0.0000 0.0000 4.4972
Re W Nb
2 1 1
Cartesian
0.0000 2.2486 0.0000
0.0000 0.0000 2.2486
1.5841 0.0000 0.0000
1.5841 2.2486 2.2486

***

YTm3Ga GGA-PBE optimized geometry; ΔH_f (0 K) = -0.079 eV per atom
1.0
-5.8279 3.9758 -2.1576
0.9725 -5.3604 -4.9746
-0.5111 -3.5449 6.3894
Tm Ga Y
6 2 2
Cartesian
-0.3775 -6.6053 -0.5172
-1.6471 -4.9530 2.0828
-4.3401 -2.0976 0.0651
-1.0264 -2.8320 -0.8080
-4.9891 1.6757 -0.2256
-3.7195 0.0235 -2.8257
-3.1653 -2.7806 -2.6585
-2.2012 -2.1489 1.9157
-0.7634 -4.7793 -3.9057
-4.6031 -0.1503 3.1629

***

Pm6NdY2Tm GGA-PBE optimized geometry; ΔH_f (0 K) = 0.118 eV per atom
1.0
-3.3906 -2.1910 8.6550
2.6200 -8.4044 -1.6179
6.1724 5.5721 3.3120
Pm Y Nd Tm
12 4 2 2
Cartesian
3.5413 -1.4416 6.8945
4.5349 0.0560 9.6209
0.8669 -5.0793 0.7281
1.8605 -3.5817 3.4544
1.1391 1.5663 7.7861
4.5731 1.9476 6.3718
0.5874 -8.1595 7.5207
0.9734 -1.4975 8.9035
4.4284 -3.5258 1.4455
4.2627 -6.5896 2.5629
4.8144 3.1362 2.8283
0.8287 -6.9709 3.9772
3.5139 -3.5189 9.7235
4.8655 -3.7757 4.9190
0.5363 -1.2476 5.4300
1.8879 -1.5044 0.6255
1.8868 -8.5020 0.7046
3.5150 3.4787 9.6444
3.8610 -0.7347 3.4443
1.5408 -4.2886 6.9047

***

PrPa2O6 GGA-PBE optimized geometry; ΔE_f (raw) = -3.624 eV/atom
1.0
-3.3441 2.0389 0.0729
0.0563 -3.7153 1.2404
2.0000 2.9657 8.7923
O Pa Pr
6 2 1
Cartesian
-1.0498 1.8423 5.5657
0.7169 0.8632 8.7386
-2.0048 0.4261 1.3671
1.4614 2.1671 6.4246
0.5386 0.7987 2.3677
-0.2381 -0.5530 4.5399
-1.5433 1.1104 3.3959
0.2554 0.1789 6.7098
0.0000 0.0000 0.0000

***

GeP2PdS GGA-PBE optimized geometry; ΔE_f (raw) = 0.736 eV/atom; distance to the lowest polymorph of the same formula = 0.0 meV per atom
1.0
-3.2106 2.5373 2.0560
1.5886 -1.3057 4.0921
3.1324 3.9323 0.0387
Ge P Pd S
1 2 1 1
Cartesian
0.7552 2.5819 3.0934
0.7943 -0.6528 2.0460
-1.6053 1.2687 1.0280
0.0000 0.0000 0.0000
1.5662 1.9661 0.0193

***

Na2Ac3Ag2Pb4 GGA-PBE optimized geometry; ΔH_f (0 K) = -0.284 eV per atom
1.0
4.9967 0.0000 0.0000
-2.4984 4.3273 0.0000
0.0000 0.0000 17.0169
Ag Ac Pb Na
2 3 4 2
Cartesian
0.0000 2.8849 2.4811
2.4984 1.4424 14.5358
0.0000 0.0000 12.7235
0.0000 0.0000 0.0000
0.0000 0.0000 4.2934
2.4984 1.4424 10.9176
0.0000 2.8849 6.0993
2.4984 1.4424 1.9932
0.0000 2.8849 15.0237
0.0000 2.8849 9.5105
2.4984 1.4424 7.5064

***

Sr5U3N8 GGA-PBE optimized geometry; ΔE_f (raw) = -1.108 eV/atom
1.0
3.2714 0.3495 6.4269
5.6943 -4.2169 1.3863
6.6413 2.9562 0.5142
U N Sr
3 8 5
Cartesian
3.3206 1.4781 0.2571
4.9563 1.6528 3.4706
6.1678 -0.6303 0.9503
4.0894 -0.0097 1.9745
8.6694 1.2792 5.8836
11.5176 -0.9015 6.3529
8.7565 -1.9961 6.0173
6.9375 -2.1904 2.4438
5.5903 0.3486 5.2465
10.0166 -1.2599 3.0809
6.8504 1.0848 2.3101
0.0000 0.0000 0.0000
7.8035 -0.4556 4.1637
1.6357 0.1747 3.2134
4.4829 -1.9337 3.9066
2.8471 -2.1084 0.6932

***

EuY3Pt GGA-PBE optimized geometry; ΔH_f (0 K) = -0.417 eV per atom
1.0
-3.9059 -0.9709 -3.8181
1.8787 -5.1849 -0.6035
-3.4628 -1.7179 3.9793
Y Pt Eu
3 1 1
Cartesian
-1.7314 -0.8589 1.9896
0.9394 -2.5924 -0.3017
-1.9530 -0.4854 -1.9090
0.0000 0.0000 0.0000
-2.7450 -3.9368 -0.2211

***

K12S3F5 GGA-PBE optimized geometry; ΔE_f (raw) = -1.766 eV/atom
1.0
14.6725 0.0000 0.0000
-4.8908 13.8333 0.0000
-4.8908 -6.9167 11.9800
K F S
48 20 12
Cartesian
-4.2094 6.1516 6.3839
5.5178 -1.8893 10.9814
7.4695 12.2931 0.3939
8.0176 -1.0055 2.5294
-0.6270 8.8060 0.9986
5.5179 1.8095 10.8431
6.1611 2.0369 1.5308
6.1611 10.6823 3.4606
9.1002 0.7650 5.5961
1.2702 1.1142 6.9886
2.3121 9.2638 4.8531
-5.0241 9.9460 4.4592
4.2094 -1.7706 3.8545
0.1333 4.5696 4.8531
5.5722 5.9111 9.4506
-2.5787 -5.3764 11.5861
3.0724 8.7261 1.1369
-4.7575 5.3765 11.5861
-1.2702 -3.7656 8.5194
-0.6814 1.0055 2.5294
1.7640 5.1461 8.1255
8.6065 -4.8798 10.4492
2.5787 -2.3471 7.1269
-3.7157 11.7964 1.5308
3.1268 1.7706 3.8545
6.6548 7.6817 6.3839
10.9568 3.1511 3.4606
-3.1268 7.9222 9.4506
9.6483 1.5402 0.3939
-1.7640 -0.7650 5.5961
4.7575 2.3471 7.1269
1.8184 -1.8095 10.8431
-1.2703 4.8798 10.4492
-0.6270 5.1072 1.1369
-5.5178 -0.0799 9.8445
1.8184 1.8893 10.9814
7.4695 3.8873 4.4592
6.0660 -1.1142 6.9886
-1.8184 0.0799 9.8445
9.9149 -3.0293 7.5208
3.0725 5.0273 0.9986
3.6206 5.8025 4.9914
10.4087 6.9965 2.1355
-1.1752 8.0308 4.9914
0.6814 8.6872 8.1255
-6.0660 3.7656 8.5194
6.7092 6.8368 2.1355
-2.5787 3.0293 7.5208
6.1135 3.4583 8.9850
1.2227 4.3229 10.4825
4.8908 -3.4583 5.9900
-1.2227 0.8646 7.4875
-2.4454 6.9167 0.0000
6.1135 6.0521 4.4925
7.3362 0.0000 0.0000
3.6681 2.5937 1.4975
-3.6681 7.7812 4.4925
-2.4454 -3.4583 5.9900
6.1135 -4.3229 10.4825
0.0000 0.0000 0.0000
3.6681 10.3750 2.9950
2.4454 3.4583 5.9900
1.2227 -3.4583 8.9850
-1.2227 11.2396 1.4975
8.5589 -0.8646 7.4875
-1.2227 3.4583 2.9950
-4.8908 3.4583 5.9900
4.8908 6.9167 0.0000
1.2227 -0.8646 4.4925
-3.6681 -2.5937 10.4825
3.6681 0.0000 8.9850
3.6681 7.7812 7.4875
8.5589 9.5104 1.4975
-1.2227 6.0521 7.4875
-6.1135 6.9167 8.9850
6.1135 0.8646 4.4925
1.2227 6.9167 2.9950
-3.6681 2.5937 10.4825
11.0043 0.0000 2.9950
8.5589 4.3229 1.4975

***

Li3AcPm2S6 GGA-PBE optimized geometry; ΔE_f (raw) = -1.785 eV/atom
1.0
-5.9260 -3.6008 -1.8637
3.8828 -2.0444 5.6835
-2.7754 5.4784 2.4773
Li Ac S Pm
3 1 6 2
Cartesian
0.6600 0.4037 5.5101
-2.4093 -0.0834 3.1485
-5.4786 -0.5704 0.7869
0.0000 0.0000 0.0000
-2.9289 -0.2972 0.2858
-2.6138 2.5563 2.8700
-1.8898 0.1305 6.0112
-2.2048 -2.7230 3.4271
0.4796 0.2436 2.9084
-5.2983 -0.4104 3.3886
0.6003 -2.5652 3.1578
-2.6436 -3.0799 0.6619

***

Th2AlAu GGA-PBE optimized geometry; ΔH_f (0 K) = 0.143 eV per atom; distance to the lowest polymorph of the same formula = 582.0 meV per atom
1.0
3.3905 0.0000 0.0000
1.6952 2.9362 0.0000
1.6952 0.9787 11.2758
Al Au Th
1 1 2
Cartesian
0.0000 0.0000 0.0000
3.3905 1.9575 5.6379
5.0857 2.9362 3.1482
1.6952 0.9787 8.1276

***

La5Tl GGA-PBE optimized geometry; ΔH_f (0 K) = -0.132 eV per atom; distance to the lowest polymorph of the same formula = 0.0 meV per atom
1.0
-2.5998 -3.3175 -2.7892
4.0942 -2.9546 -0.3020
-4.3092 -2.3363 6.7954
Tl La
1 5
Cartesian
0.0000 0.0000 0.0000
-0.8025 -5.7487 3.0064
-2.0122 -2.8597 0.6978
1.2898 -2.7541 2.0736
-1.5047 -2.5368 4.4198
0.7472 -3.1361 -1.5456

***

BeAgHg2C GGA-PBE optimized geometry; ΔH_f (0 K) = 0.768 eV per atom
1.0
-4.4763 -0.1890 -2.6539
1.5658 -1.2797 -2.5499
-0.8955 -4.7841 1.8511
Be Ag Hg C
1 1 2 1
Cartesian
0.0000 0.0000 0.0000
-1.9030 -3.1264 -1.6763
-2.2381 -0.0945 -1.3270
-0.4478 -2.3920 0.9256
0.7829 -0.6399 -1.2749

***

Mg3Cu2Sn GGA-PBE optimized geometry; ΔH_f (0 K) = -0.042 eV per atom
1.0
3.9937 0.0000 -1.2634
0.0000 4.1419 0.0000
-0.0997 0.0000 6.6290
Cu Mg Sn
2 3 1
Cartesian
3.2052 2.0709 3.1882
0.6888 2.0709 2.1774
1.2436 0.0000 3.9313
1.9969 2.0709 -0.6317
2.6504 0.0000 1.4343
0.0000 0.0000 0.0000

***

GaRhAu GGA-PBE optimized geometry; ΔH_f (0 K) = -0.238 eV per atom; distance to the lowest polymorph of the same formula = 60.5 meV per atom
1.0
-2.7385 -0.5184 -1.2207
1.8340 -0.8431 -3.7562
-0.6557 -3.1433 2.8058
Rh Au Ga
1 1 1
Cartesian
-1.0431 -1.9974 -2.4814
-0.5823 -2.5198 0.2813
-2.6733 -0.5060 -1.1916

***

LiZr GGA-PBE optimized geometry; ΔH_f (0 K) = 0.243 eV per atom; distance to the lowest polymorph of the same formula = 159.4 meV per atom
1.0
2.9757 0.0000 0.0000
0.0000 4.9958 0.0000
0.0000 0.0000 5.7508
Zr Li
2 2
Cartesian
0.0000 2.4979 2.0282
1.4878 0.0000 2.7641
1.4878 2.4979 4.8000
0.0000 0.0000 5.7431

***

NpPa2GeN5 GGA-PBE optimized geometry; ΔE_f (raw) = -0.941 eV/atom
1.0
3.4693 0.0000 0.0000
-1.7346 6.6098 0.0000
0.0000 0.0000 10.9871
N Np Pa Ge
10 2 4 2
Cartesian
1.7346 1.7961 5.8851
1.7346 6.2072 6.4987
0.0000 4.8137 0.3915
1.7346 2.7095 9.0485
1.7346 2.7136 1.5259
0.0000 0.4025 1.0051
1.7346 0.2229 3.2960
0.0000 3.8961 7.0194
0.0000 6.3869 8.7895
0.0000 3.9003 3.5550
0.0000 2.5958 10.8429
1.7347 4.0139 5.3493
1.7346 4.9029 2.0893
1.7346 4.8953 8.4353
0.0000 1.7069 7.5828
0.0000 1.7145 2.9417
1.7346 0.0998 10.8733
0.0000 6.5100 5.3797

***

Li2CaRuC GGA-PBE optimized geometry; ΔH_f (0 K) = 0.124 eV per atom
1.0
4.2885 0.0000 0.0000
0.0000 4.2885 0.0000
0.0000 0.0000 4.0442
Li C Ru Ca
2 1 1 1
Cartesian
0.0000 2.1442 0.0000
2.1442 0.0000 0.0000
0.0000 0.0000 0.0000
0.0000 0.0000 2.0221
2.1442 2.1442 2.0221

***

KCdHgW2 GGA-PBE optimized geometry; ΔH_f (0 K) = 2.308 eV per atom
1.0
5.3025 0.0000 0.0000
0.0000 6.1833 0.0000
0.0000 0.0000 5.3025
Cd W K Hg
1 2 1 1
Cartesian
0.0000 0.0000 0.0000
0.0000 0.0000 2.6513
2.6513 0.0000 0.0000
0.0000 3.0916 0.0000
2.6513 3.0916 2.6513

***

Ce4Ga3Hg GGA-PBE optimized geometry; ΔH_f (0 K) = -0.293 eV per atom; distance to the lowest polymorph of the same formula = 131.6 meV per atom
1.0
-2.7602 -1.2026 3.0162
1.2749 -4.6350 -0.6814
7.1124 3.7669 4.9997
Ce Ga Hg
4 3 1
Cartesian
3.5657 -1.9280 2.4942
4.8205 0.6416 4.6671
0.8066 -2.7123 2.6675
2.0614 -0.1427 4.8403
0.6374 -2.3175 -0.3407
1.6118 0.2146 1.5605
4.0153 -2.2853 5.7740
-1.3801 -0.6013 1.5081

***

no.,DOS(E_F) (states/eV/f.u.),final energy (eV/atom)
1,2.4,-12.08
2,7.6,-4.66
3,14.7,-4.95
4,6.0,-9.57
5,4.4,-4.22
6,10.6,-3.51
7,7.9,-7.91
8,6.9,-7.56
9,1.1,-3.51
10,0.0,-5.46
11,3.4,-5.32
12,8.2,-4.63
13,2.1,-2.51
14,2.2,-2.87
15,1.0,-4.79
16,1.8,-4.99
17,10.7,-9.63
18,3.9,-4.74
19,3.9,-3.34
20,15.7,-4.43